EuBRh after structural relaxation, computed with PBE.

Cell lengths 4.5885, 3.6505, 3.6505 Å; angles 120.00, 90.00, 90.00 degrees
Each line ends with the local moment (μB).
Fractional positions:
Eu 0.6667 0.3333 0.6667  6.79
B 0.1667 0.6667 0.3333  -0.01
Rh 0.1667 0.0000 0.0000  -0.01

## Properties
Crystal system ... hexagonal
Raw total energy ... -8.49 eV per atom
SG ... P-6m2 (187)
Energy above the most stable polymorph in this dataset ... 0 meV per atom
E_form ... -0.393 eV per atom